Li3Cd4Ag2 | PBE | relaxed

Unit cell a=6.7159 b=6.7159 c=6.6535 alpha=107.80 beta=107.80 gamma=36.45
Element x y z (fractional)
Li1 0.0000 0.0000 0.0000
Li2 0.1177 0.1177 0.6799
Li3 0.8823 0.8823 0.3201
Cd1 0.2177 0.2177 0.3207
Cd2 0.4499 0.4499 0.6732
Cd3 0.5501 0.5501 0.3268
Cd4 0.7823 0.7823 0.6793
Ag1 0.3338 0.3338 0.0083
Ag2 0.6662 0.6662 0.9917

Summary:
ΔE_f = -1.8 eV/f.u.
ΔE to the lowest computed polymorph = 0.0113 eV/atom
Crystal system = monoclinic